A plane-wave DFT calculation with GGA-PBEsol was carried out for a relaxed structure of AlCr.

Output
Fermi-level density of states	1.49	states/eV/f.u.
DFT total energy	-0.5305	Ry/atom

Cell lengths 2.9970, 4.8257, 5.8609 Å; angles 107.48, 90.00, 108.09 degrees
Fractional coordinates of all 6 atoms:
Al  0.6719  0.3438  0.8087
Al  0.0000  0.0000  0.0000
Al  0.3281  0.6562  0.1913
Cr  0.6611  0.3223  0.3509
Cr  0.3389  0.6777  0.6491
Cr  0.0000  0.0000  0.5000

A plane-wave DFT calculation with GGA-PBEsol was carried out for a relaxed structure of K14Tl21Cd9.

Output
Fermi-level density of states	8.02	states/eV/f.u.
DFT total energy	-0.1464	Ry/atom

Cell lengths 9.8504, 9.8504, 17.0497 Å; angles 90.00, 90.00, 120.00 degrees
Fractional coordinates of all 44 atoms:
Tl  0.4001  0.0000  0.8911
Tl  0.6667  0.3333  0.8347
Tl  0.6667  0.3333  0.1653
Tl  0.0000  0.7035  0.5941
Tl  0.2223  0.0000  0.5000
Tl  0.0000  0.0000  0.3479
Tl  0.7035  0.0000  0.4059
Tl  0.5999  0.5999  0.1089
Tl  0.7035  0.0000  0.5941
Tl  0.0000  0.4001  0.1089
Tl  0.5999  0.5999  0.8911
Tl  0.3333  0.6667  0.8347
Tl  0.3333  0.6667  0.1653
Tl  0.0000  0.7035  0.4059
Tl  0.4001  0.0000  0.1089
Tl  0.2965  0.2965  0.5941
Tl  0.2965  0.2965  0.4059
Tl  0.0000  0.0000  0.6521
Tl  0.0000  0.4001  0.8911
Tl  0.7777  0.7777  0.5000
Tl  0.0000  0.2223  0.5000
K  0.3875  0.0000  0.3146
K  0.0000  0.7500  0.8216
K  0.3875  0.0000  0.6854
K  0.0000  0.7500  0.1784
K  0.6667  0.3333  0.5000
K  0.3333  0.6667  0.5000
K  0.6125  0.6125  0.3146
K  0.0000  0.3875  0.6854
K  0.6125  0.6125  0.6854
K  0.2500  0.2500  0.8216
K  0.2500  0.2500  0.1784
K  0.0000  0.3875  0.3146
K  0.7500  0.0000  0.1784
K  0.7500  0.0000  0.8216
Cd  0.4722  0.2995  0.0000
Cd  0.1728  0.7005  0.0000
Cd  0.8272  0.5278  0.0000
Cd  0.2995  0.4722  0.0000
Cd  0.5278  0.8272  0.0000
Cd  0.1651  0.0000  0.0000
Cd  0.8349  0.8349  0.0000
Cd  0.7005  0.1728  0.0000
Cd  0.0000  0.1651  0.0000

Copy entry 1 word for word.
A plane-wave DFT calculation with GGA-PBEsol was carried out for a relaxed structure of AlCr.

Output
Fermi-level density of states	1.49	states/eV/f.u.
DFT total energy	-0.5305	Ry/atom

Cell lengths 2.9970, 4.8257, 5.8609 Å; angles 107.48, 90.00, 108.09 degrees
Fractional coordinates of all 6 atoms:
Al  0.6719  0.3438  0.8087
Al  0.0000  0.0000  0.0000
Al  0.3281  0.6562  0.1913
Cr  0.6611  0.3223  0.3509
Cr  0.3389  0.6777  0.6491
Cr  0.0000  0.0000  0.5000